# TbPm14Mg (GGA-PBE, relaxed)
data_TbPm14Mg
_space_group_name_H-M_alt 'A m m 2'
_space_group_IT_number 38
_space_group_name_Hall 'A 2 -2'
_cell_length_a 10.253
_cell_length_b 10.222
_cell_length_c 10.223
_cell_angle_alpha 90.00
_cell_angle_beta 90.00
_cell_angle_gamma 90.00
loop_
_atom_site_label
_atom_site_type_symbol
_atom_site_fract_x
_atom_site_fract_y
_atom_site_fract_z
Tb1 Tb 0.000 0.000 0.000
Pm1 Pm 0.000 0.249 0.750
Pm2 Pm 0.246 0.000 0.250
Pm3 Pm 0.247 0.250 0.000
Pm4 Pm 0.248 0.000 0.750
Pm5 Pm 0.500 0.000 0.000
Pm6 Pm 0.500 0.000 0.500
Pm7 Pm 0.500 0.249 0.250
Mg1 Mg 0.000 0.000 0.499
# spin magnetization: 0.000 Bohr magnetons per cell
# formation energy: 0.2 eV per formula unit